[1]
# Ac2Tb2Pd15, relaxed, DFT PBE-GGA
data_Ac2Tb2Pd15
_space_group_name_H-M_alt 'P 1'
_space_group_IT_number 1
_space_group_name_Hall 'P 1'
_cell_length_a 7.204
_cell_length_b 7.204
_cell_length_c 7.204
_cell_angle_alpha 80.92
_cell_angle_beta 80.92
_cell_angle_gamma 80.92
loop_
_atom_site_label
_atom_site_fract_x
_atom_site_fract_y
_atom_site_fract_z
_atom_site_occupancy
Ac1 0.142 0.142 0.142 1
Ac2 0.858 0.858 0.858 1
Tb1 0.393 0.393 0.393 1
Tb2 0.607 0.607 0.607 1
Pd1 0.000 0.500 0.500 1
Pd2 0.151 0.151 0.656 1
Pd3 0.151 0.656 0.151 1
Pd4 0.199 0.500 0.801 1
Pd5 0.199 0.801 0.500 1
Pd6 0.344 0.849 0.849 1
Pd7 0.500 0.000 0.500 1
Pd8 0.500 0.199 0.801 1
Pd9 0.500 0.500 0.000 1
Pd10 0.500 0.801 0.199 1
Pd11 0.656 0.151 0.151 1
Pd12 0.801 0.199 0.500 1
Pd13 0.801 0.500 0.199 1
Pd14 0.849 0.344 0.849 1
Pd15 0.849 0.849 0.344 1
# * formation energy from the elements: -0.6111 eV/atom
# * space group: R-3m

[2]
# Fe2BiAu2, relaxed, DFT PBE-GGA
data_Fe2BiAu2
_space_group_name_H-M_alt 'P 1'
_space_group_IT_number 1
_space_group_name_Hall 'P 1'
_cell_length_a 7.550
_cell_length_b 7.550
_cell_length_c 3.206
_cell_angle_alpha 90.00
_cell_angle_beta 90.00
_cell_angle_gamma 90.00
loop_
_atom_site_label
_atom_site_fract_x
_atom_site_fract_y
_atom_site_fract_z
_atom_site_occupancy
Fe1 0.111 0.389 0.000 1
Fe2 0.389 0.889 0.000 1
Fe3 0.611 0.111 0.000 1
Fe4 0.889 0.611 0.000 1
Bi1 0.000 0.000 0.000 1
Bi2 0.500 0.500 0.000 1
Au1 0.175 0.675 0.500 1
Au2 0.325 0.175 0.500 1
Au3 0.675 0.825 0.500 1
Au4 0.825 0.325 0.500 1
# * formation energy from the elements: 0.2841 eV/atom
# * space group: P4/mbm

[3]
# SiTeSe2Br, relaxed, DFT PBE-GGA
data_SiTeSe2Br
_space_group_name_H-M_alt 'P 1'
_space_group_IT_number 1
_space_group_name_Hall 'P 1'
_cell_length_a 5.440
_cell_length_b 5.440
_cell_length_c 5.342
_cell_angle_alpha 90.00
_cell_angle_beta 90.00
_cell_angle_gamma 90.00
loop_
_atom_site_label
_atom_site_fract_x
_atom_site_fract_y
_atom_site_fract_z
_atom_site_occupancy
Si1 0.000 0.000 0.000 1
Te1 0.500 0.500 0.500 1
Se1 0.000 0.500 0.500 1
Se2 0.500 0.000 0.500 1
Br1 0.500 0.500 0.000 1
# * formation energy (no corrections): 704 meV per atom
# * space group: P4/mmm

[4]
# MnCo2HPd, relaxed, DFT PBE-GGA
data_MnCo2HPd
_space_group_name_H-M_alt 'P 1'
_space_group_IT_number 1
_space_group_name_Hall 'P 1'
_cell_length_a 3.690
_cell_length_b 3.690
_cell_length_c 3.929
_cell_angle_alpha 90.00
_cell_angle_beta 90.00
_cell_angle_gamma 90.00
loop_
_atom_site_label
_atom_site_fract_x
_atom_site_fract_y
_atom_site_fract_z
_atom_site_occupancy
Mn1 0.000 0.000 0.000 1
Co1 0.000 0.500 0.500 1
Co2 0.500 0.000 0.500 1
H1 0.500 0.500 0.500 1
Pd1 0.500 0.500 0.000 1
# * space group: P4/mmm
# * calculated total energy: -6.331 eV per atom